1.
First-principles (PBE) data for Hg3Se after structural relaxation, as listed in Alexandria.

a b c (Å): 3.0608 3.0608 12.6325
angles (deg): 90.00 90.00 120.00
Closest atoms and distances in Å follow each position.
Space group P-6m2 (No. 187)
Inequivalent atoms, fractional coordinates:
1 Hg 0.0000 0.0000 0.0000  6 Hg 3.06
2 Hg 0.3333 0.6667 0.2536  6 Hg 3.06
3 Se 0.0000 0.0000 0.5000  6 Se 3.06

---

2.
First-principles (PBE) data for Hg5Se after structural relaxation, as listed in Alexandria.

a b c (Å): 12.7651 4.1219 7.3457
angles (deg): 90.00 121.78 90.00
Closest atoms and distances in Å follow each position.
Space group C2/m (No. 12)
Inequivalent atoms, fractional coordinates:
1 Hg 0.0000 0.0000 0.0000  6 Hg 2.98-3.21
2 Hg 0.1603 0.5000 0.9752  5 Hg 2.96-3.20, 1 Se 2.97
3 Hg 0.1673 0.0000 0.5134  2 Se 2.93, 4 Hg 3.03-3.21
4 Se 0.0000 0.5000 0.5000  6 Hg 2.93-2.97

---

3.
First-principles (PBE) data for Hg4Se5 after structural relaxation, as listed in Alexandria.

## Properties
- energy above the most stable polymorph in this dataset (eV/f.u.) = 0.000

a b c (Å): 8.0448 8.0448 7.9315
angles (deg): 90.00 90.00 120.00
Closest atoms and distances in Å follow each position.
Space group P6_3/mcm (No. 193)
Inequivalent atoms, fractional coordinates:
1 Hg 0.0000 0.0000 0.0000  6 Se 2.84
2 Hg 0.0000 0.4131 0.2500  3 Se 2.70-2.90
3 Se 0.0000 0.2519 0.7500  5 Hg 2.70-2.90
4 Se 0.3333 0.6667 0.0000  6 Hg 3.13

---

4.
First-principles (PBE) data for HgSe3 after structural relaxation, as listed in Alexandria.

a b c (Å): 3.7987 3.7987 34.6631
angles (deg): 90.00 90.00 90.00
Closest atoms and distances in Å follow each position.
Space group I4/mmm (No. 139)
Inequivalent atoms, fractional coordinates:
1 Hg 0.0000 0.0000 0.1300  4 Se 2.69
2 Se 0.0000 0.0000 0.3754  4 Hg 2.69
3 Se 0.0000 0.5000 0.0000  4 Se 2.69
4 Se 0.0000 0.5000 0.2500  4 Se 2.69

---

5.
First-principles (PBE) data for Hg5Se after structural relaxation, as listed in Alexandria.

a b c (Å): 2.9972 2.9972 18.0170
angles (deg): 90.00 90.00 90.00
Closest atoms and distances in Å follow each position.
Space group P4/mmm (No. 123)
Inequivalent atoms, fractional coordinates:
1 Hg 0.0000 0.0000 0.0000  4 Hg 3.00
2 Hg 0.0000 0.0000 0.3393  4 Hg 3.00
3 Hg 0.5000 0.5000 0.1720  4 Hg 3.00
4 Se 0.5000 0.5000 0.5000  4 Se 3.00

---

6.
First-principles (PBE) data for HgSe2 after structural relaxation, as listed in Alexandria.

## Properties
- energy above the most stable polymorph in this dataset (eV/f.u.) = 0.361

a b c (Å): 4.2430 4.2430 11.0708
angles (deg): 90.00 90.00 120.00
Closest atoms and distances in Å follow each position.
Space group P6_3/mmc (No. 194)
Inequivalent atoms, fractional coordinates:
1 Hg 0.3333 0.6667 0.2500  6 Se 2.90
2 Se 0.0000 0.0000 0.1105  1 Se 2.45

---

7.
First-principles (PBE) data for HgSe2 after structural relaxation, as listed in Alexandria.

## Properties
- energy above the most stable polymorph in this dataset (eV/f.u.) = 1.380

a b c (Å): 5.2173 5.2173 5.7474
angles (deg): 90.00 90.00 120.00
Closest atoms and distances in Å follow each position.
Space group P6_3/mmc (No. 194)
Inequivalent atoms, fractional coordinates:
1 Hg 0.3333 0.6667 0.2500  5 Se 2.87-3.01
2 Se 0.0000 0.0000 0.0000  2 Se 2.87
3 Se 0.3333 0.6667 0.7500  5 Hg 2.87-3.01

---

8.
First-principles (PBE) data for HgSe2 after structural relaxation, as listed in Alexandria.

## Properties
- energy above the most stable polymorph in this dataset (eV/f.u.) = 0.279

a b c (Å): 7.9865 7.9865 4.8796
angles (deg): 90.00 90.00 120.00
Closest atoms and distances in Å follow each position.
Space group P-31m (No. 162)
Inequivalent atoms, fractional coordinates:
1 Hg 0.0000 0.0000 0.0000  6 Se 3.30
2 Hg 0.3333 0.6667 0.5000  6 Se 2.92
3 Se 0.0000 0.3992 0.1705  1 Se 2.31

---

9.
First-principles (PBE) data for HgSe2 after structural relaxation, as listed in Alexandria.

## Properties
- energy above the most stable polymorph in this dataset (eV/f.u.) = 0.081

a b c (Å): 6.4113 5.8393 10.0746
angles (deg): 90.00 90.00 90.00
Closest atoms and distances in Å follow each position.
Space group Cmce (No. 64)
Inequivalent atoms, fractional coordinates:
1 Hg 0.0000 0.0000 0.0000  2 Se 2.54
2 Se 0.0000 0.1038 0.3965  1 Se 2.41, 1 Hg 2.54

---

10.
First-principles (PBE) data for Hg4Se after structural relaxation, as listed in Alexandria.

## Properties
- energy above the most stable polymorph in this dataset (eV/f.u.) = 0.964

a b c (Å): 6.8702 6.8702 6.8702
angles (deg): 90.00 90.00 90.00
Closest atoms and distances in Å follow each position.
Space group Im-3m (No. 229)
Inequivalent atoms, fractional coordinates:
1 Hg 0.2500 0.2500 0.2500  2 Se 2.97
2 Se 0.0000 0.0000 0.0000  8 Hg 2.97

---

11.
First-principles (PBE) data for HgSe3 after structural relaxation, as listed in Alexandria.

a b c (Å): 8.0732 7.1968 7.7729
angles (deg): 90.00 90.00 90.00
Closest atoms and distances in Å follow each position.
Space group Pnma (No. 62)
Inequivalent atoms, fractional coordinates:
1 Hg 0.0958 0.2500 0.1646  6 Se 2.87-3.18
2 Se 0.1470 0.2500 0.6428  2 Se 2.38
3 Se 0.1819 0.5005 0.8397  1 Se 2.38

---

12.
First-principles (PBE) data for HgSe2 after structural relaxation, as listed in Alexandria.

## Properties
- energy above the most stable polymorph in this dataset (eV/f.u.) = 0.490

a b c (Å): 4.1689 4.1689 5.6637
angles (deg): 90.00 90.00 120.00
Closest atoms and distances in Å follow each position.
Space group P-6m2 (No. 187)
Inequivalent atoms, fractional coordinates:
1 Hg 0.0000 0.0000 0.0000  6 Se 2.88
2 Se 0.6667 0.3333 0.2799  1 Se 2.49

---

13.
First-principles (PBE) data for HgSe2 after structural relaxation, as listed in Alexandria.

## Properties
- energy above the most stable polymorph in this dataset (eV/f.u.) = 0.657

a b c (Å): 9.9638 9.9638 4.0190
angles (deg): 90.00 90.00 120.00
Closest atoms and distances in Å follow each position.
Space group P-62m (No. 189)
Inequivalent atoms, fractional coordinates:
1 Hg 0.0000 0.0000 0.0000  6 Se 3.14
2 Hg 0.3333 0.6667 0.5000  9 Se 3.71-3.86, 2 Hg 4.02
3 Se 0.0000 0.2420 0.5000  2 Se 2.43
4 Se 0.0000 0.3794 0.0000  2 Se 2.43

---

14.
First-principles (PBE) data for HgSe2 after structural relaxation, as listed in Alexandria.

## Properties
- energy above the most stable polymorph in this dataset (eV/f.u.) = 0.358

a b c (Å): 3.8462 3.8462 11.7831
angles (deg): 90.00 90.00 90.00
Closest atoms and distances in Å follow each position.
Space group P4/nmm (No. 129, origin choice 2)
Inequivalent atoms, fractional coordinates:
1 Hg 0.2500 0.2500 0.1201  4 Se 2.74
2 Se 0.2500 0.2500 0.8510  4 Hg 2.74
3 Se 0.2500 0.7500 0.5000  4 Se 2.72

---

15.
First-principles (PBE) data for HgSe5 after structural relaxation, as listed in Alexandria.

## Properties
- energy above the most stable polymorph in this dataset (eV/f.u.) = 1.044

a b c (Å): 6.7211 6.7211 3.7367
angles (deg): 90.00 90.00 120.00
Closest atoms and distances in Å follow each position.
Space group P-62m (No. 189)
Inequivalent atoms, fractional coordinates:
1 Hg 0.0000 0.0000 0.0000  6 Se 3.21
2 Se 0.0000 0.6124 0.5000  4 Se 2.80
3 Se 0.3333 0.6667 0.0000  6 Se 2.80

---

16.
First-principles (PBE) data for Hg4Se after structural relaxation, as listed in Alexandria.

## Properties
- energy above the most stable polymorph in this dataset (eV/f.u.) = 0.568

a b c (Å): 4.1380 4.1380 15.5948
angles (deg): 90.00 90.00 90.00
Closest atoms and distances in Å follow each position.
Space group I4/mmm (No. 139)
Inequivalent atoms, fractional coordinates:
1 Hg 0.0000 0.0000 0.0923  5 Hg 2.88-3.21
2 Hg 0.0000 0.5000 0.2500  8 Hg 2.93-3.21
3 Se 0.0000 0.0000 0.5000  8 Hg 3.26

---

17.
First-principles (PBE) data for Hg3Se after structural relaxation, as listed in Alexandria.

a b c (Å): 5.5776 12.5039 3.1050
angles (deg): 90.00 90.00 90.00
Closest atoms and distances in Å follow each position.
Space group Cmmm (No. 65)
Inequivalent atoms, fractional coordinates:
1 Hg 0.0000 0.0000 0.0000  2 Se 2.79, 2 Hg 3.11
2 Hg 0.2500 0.2500 0.5000  4 Hg 2.79-3.11
3 Se 0.0000 0.5000 0.0000  2 Hg 2.79, 2 Se 3.11

---

18.
First-principles (PBE) data for HgSe2 after structural relaxation, as listed in Alexandria.

## Properties
- energy above the most stable polymorph in this dataset (eV/f.u.) = 0.447

a b c (Å): 3.7687 25.8411 3.8709
angles (deg): 90.00 90.00 90.00
Closest atoms and distances in Å follow each position.
Space group Cmmm (No. 65)
Inequivalent atoms, fractional coordinates:
1 Hg 0.0000 0.1637 0.0000  4 Se 2.70
2 Se 0.0000 0.0000 0.5000  4 Se 2.70
3 Se 0.0000 0.3343 0.5000  4 Hg 2.70
4 Se 0.0000 0.5000 0.0000  4 Se 2.70

---

19.
First-principles (PBE) data for HgSe4 after structural relaxation, as listed in Alexandria.

## Properties
- energy above the most stable polymorph in this dataset (eV/f.u.) = 0.149

a b c (Å): 8.2844 8.2844 4.5253
angles (deg): 90.00 90.00 90.00
Closest atoms and distances in Å follow each position.
Space group I4/m (No. 87)
Inequivalent atoms, fractional coordinates:
1 Hg 0.0000 0.0000 0.0000  4 Se 2.78
2 Se 0.1888 0.7219 0.0000  2 Se 2.52, 1 Hg 2.78

---

20.
First-principles (PBE) data for HgSe2 after structural relaxation, as listed in Alexandria.

## Properties
- energy above the most stable polymorph in this dataset (eV/f.u.) = 1.268

a b c (Å): 6.7899 6.7899 6.7899
angles (deg): 90.00 90.00 90.00
Closest atoms and distances in Å follow each position.
Space group Fm-3m (No. 225)
Inequivalent atoms, fractional coordinates:
1 Hg 0.0000 0.0000 0.0000  8 Se 2.94
2 Se 0.2500 0.2500 0.2500  4 Hg 2.94

---

Number 1: total moment 0.000 μB/f.u., E_form (uncorrected) 0.20 eV/atom. Number 2: total moment 0.000 μB/f.u., E_form (uncorrected) 0.00 eV/atom. Number 3: total moment 0.000 μB/f.u., E_form (uncorrected) 0.22 eV/atom. Number 4: total moment 0.000 μB/f.u., E_form (uncorrected) 0.15 eV/atom. Number 5: total moment 0.000 μB/f.u., E_form (uncorrected) 0.08 eV/atom. Number 6: total moment 0.000 μB/f.u., E_form (uncorrected) 0.10 eV/atom. Number 7: total moment 0.000 μB/f.u., E_form (uncorrected) 0.44 eV/atom. Number 8: total moment 0.000 μB/f.u., E_form (uncorrected) 0.07 eV/atom. Number 9: total moment 0.000 μB/f.u., E_form (uncorrected) 0.01 eV/atom. Number 10: total moment 0.000 μB/f.u., E_form (uncorrected) 0.24 eV/atom. Number 11: total moment 0.000 μB/f.u., E_form (uncorrected) 0.04 eV/atom. Number 12: total moment 0.000 μB/f.u., E_form (uncorrected) 0.14 eV/atom. Number 13: total moment 0.000 μB/f.u., E_form (uncorrected) 0.20 eV/atom. Number 14: total moment 0.000 μB/f.u., E_form (uncorrected) 0.10 eV/atom. Number 15: total moment 0.000 μB/f.u., E_form (uncorrected) 0.28 eV/atom. Number 16: total moment 0.000 μB/f.u., E_form (uncorrected) 0.17 eV/atom. Number 17: total moment 0.000 μB/f.u., E_form (uncorrected) 0.07 eV/atom. Number 18: total moment 0.000 μB/f.u., E_form (uncorrected) 0.13 eV/atom. Number 19: total moment 0.000 μB/f.u., E_form (uncorrected) 0.14 eV/atom. Number 20: total moment 0.000 μB/f.u., E_form (uncorrected) 0.40 eV/atom.